(1)
Entry from Alexandria: crystalline Y2AgAsRu at its relaxed geometry (PBE-GGA).

POSCAR file:
```
Y2AgAsRu
1.0
5.3884 0.0000 0.0000
0.0000 5.3884 0.0000
0.0000 0.0000 4.7859
Y Ag As Ru
2 1 1 1
Cartesian
0.0000 2.6942 0.0000 Y
2.6942 0.0000 0.0000 Y
0.0000 0.0000 0.0000 Ag
2.6942 2.6942 2.3930 As
0.0000 0.0000 2.3930 Ru
```

## Properties
E_form	608	meV/atom
DFT total energy	-5.33	eV/atom


(2)
Entry from Alexandria: crystalline Ac2Tb2Y7 at its relaxed geometry (PBE-GGA).

POSCAR file:
```
Ac2Tb2Y7
1.0
5.8261 -5.8680 0.0000
5.8261 5.8680 0.0000
-2.5416 0.0000 5.6620
Ac Tb Y
2 2 7
Cartesian
5.8261 3.3900 0.0000 Ac
5.8261 -3.3900 0.0000 Ac
2.6617 0.0000 0.4665 Tb
6.4489 0.0000 5.1956 Tb
-1.2708 0.0000 2.8310 Y
2.9686 3.1233 1.8935 Y
2.9659 0.0000 3.8807 Y
6.1420 3.1233 3.7685 Y
2.9686 -3.1233 1.8935 Y
6.1447 0.0000 1.7813 Y
6.1420 -3.1233 3.7685 Y
```

## Properties
relative energy among the computed polymorphs	0.000	eV/atom
E_form	180	meV/atom
DFT total energy	-5.52	eV/atom


(3)
Entry from Alexandria: crystalline RbAgRh3 at its relaxed geometry (PBE-GGA).

POSCAR file:
```
RbAgRh3
1.0
4.8278 0.0000 0.0000
0.0000 4.8278 0.0000
0.0000 0.0000 4.8278
Rb Ag Rh
1 1 3
Cartesian
0.0000 0.0000 0.0000 Rb
2.4139 2.4139 2.4139 Ag
0.0000 0.0000 2.4139 Rh
0.0000 2.4139 0.0000 Rh
2.4139 0.0000 0.0000 Rh
```

## Properties
relative energy among the computed polymorphs	0.806	eV/atom
E_form	2245	meV/atom
DFT total energy	-2.93	eV/atom


(4)
Entry from Alexandria: crystalline LaFeS2N at its relaxed geometry (PBE-GGA).

POSCAR file:
```
LaFeS2N
1.0
5.5363 0.0000 0.0000
0.0000 5.5363 0.0000
0.0000 0.0000 4.2730
La Fe S N
1 1 2 1
Cartesian
0.0000 0.0000 0.0000 La
2.7681 2.7681 2.1365 Fe
0.0000 2.7681 0.0000 S
2.7681 0.0000 0.0000 S
0.0000 0.0000 2.1365 N
```

## Properties
relative energy among the computed polymorphs	1.549	eV/atom
DFT total energy	-5.28	eV/atom
ΔE_f (raw)	0.710	eV/atom


(5)
Entry from Alexandria: crystalline Mg2NiGe2Ir at its relaxed geometry (PBE-GGA).

POSCAR file:
```
Mg2NiGe2Ir
1.0
-2.8034 6.2015 2.9020
2.8034 -6.2015 2.9020
2.8034 6.2015 -2.9020
Mg Ni Ge Ir
4 2 4 2
Cartesian
1.3815 1.9648 0.0000 Mg
1.3815 -1.9648 2.9020 Mg
1.4220 8.1663 0.0000 Mg
1.4220 4.2368 2.9020 Mg
2.8034 0.0000 1.4510 Ni
0.0000 6.2015 1.4510 Ni
4.1313 1.4734 0.0000 Ge
1.3279 4.7282 0.0000 Ge
1.4756 1.4734 2.9020 Ge
-1.3279 4.7282 2.9020 Ge
0.0000 0.0000 1.4510 Ir
0.0000 0.0000 4.3530 Ir
```

## Properties
E_form	-385	meV/atom
DFT total energy	-4.90	eV/atom


(6)
Entry from Alexandria: crystalline Sb4Te3Au2 at its relaxed geometry (PBE-GGA).

POSCAR file:
```
Sb4Te3Au2
1.0
7.1713 -5.9241 0.0000
7.1713 5.9241 0.0000
-0.4442 0.0000 6.0621
Sb Te Au
8 6 4
Cartesian
5.3191 4.2827 3.1650 Sb
4.6864 1.1296 0.1903 Sb
8.3573 4.2827 5.9281 Sb
4.4643 -1.1296 3.2214 Sb
9.4342 1.1296 2.8407 Sb
5.5411 -4.2827 0.1340 Sb
9.2121 -1.1296 5.8718 Sb
8.5794 -4.2827 2.8971 Sb
5.5209 4.4642 0.1370 Te
8.5996 4.4642 2.8940 Te
6.8382 1.3913 4.5466 Te
7.0603 -1.3913 1.5155 Te
5.2988 -4.4642 3.1681 Te
8.3775 -4.4642 5.9251 Te
4.2190 1.6305 3.0891 Au
4.4411 -1.6305 0.0581 Au
9.4574 1.6305 6.0040 Au
9.6795 -1.6305 2.9730 Au
```

## Properties
DFT total energy	-3.57	eV/atom
ΔE_f (raw)	0.039	eV/atom


(7)
Entry from Alexandria: crystalline PmCdCu at its relaxed geometry (PBE-GGA).

POSCAR file:
```
PmCdCu
1.0
-1.5738 1.5738 7.8818
1.5738 -1.5738 7.8818
1.5738 1.5738 -7.8818
Pm Cd Cu
1 1 1
Cartesian
0.0000 0.0000 0.0000 Pm
0.0000 0.0000 5.4152 Cd
0.0000 0.0000 2.8055 Cu
```

## Properties
relative energy among the computed polymorphs	0.786	eV/atom
E_form	509	meV/atom
DFT total energy	-2.75	eV/atom


(8)
Entry from Alexandria: crystalline LiAl2Tc at its relaxed geometry (PBE-GGA).

POSCAR file:
```
LiAl2Tc
1.0
-1.8931 1.8931 8.8604
1.8931 -1.8931 8.8604
1.8931 1.8931 -8.8604
Li Al Tc
2 4 2
Cartesian
0.0000 0.0000 0.0000 Li
0.0000 1.8931 4.4302 Li
0.9465 -0.8881 6.6453 Al
1.0050 0.9465 2.2151 Al
0.9465 2.7811 -2.2151 Al
0.8881 0.9465 11.0755 Al
1.8931 0.0000 4.4302 Tc
0.0000 0.0000 8.8604 Tc
```

## Properties
relative energy among the computed polymorphs	0.654	eV/atom
E_form	343	meV/atom
DFT total energy	-4.60	eV/atom


(9)
Entry from Alexandria: crystalline La3SmAu7 at its relaxed geometry (PBE-GGA).

POSCAR file:
```
La3SmAu7
1.0
1.9539 -11.0879 0.0000
1.9539 11.0879 0.0000
0.0000 0.0000 13.1889
La Sm Au
6 2 14
Cartesian
1.9539 8.0540 7.3182 La
1.9539 8.0540 12.4651 La
1.9539 6.6843 3.2972 La
1.9539 -6.6843 9.8916 La
1.9539 -8.0540 0.7238 La
1.9539 -8.0540 5.8707 La
1.9539 10.9281 3.2972 Sm
1.9539 -10.9281 9.8916 Sm
1.9539 4.9366 7.4686 Au
1.9539 4.9366 12.3147 Au
1.9539 2.6405 3.2972 Au
1.9539 2.2217 8.4179 Au
1.9539 2.2217 11.3654 Au
1.9539 0.6743 1.1446 Au
1.9539 0.6743 5.4499 Au
1.9539 -0.6743 7.7390 Au
1.9539 -0.6743 12.0443 Au
1.9539 -2.2217 1.8234 Au
1.9539 -2.2217 4.7710 Au
1.9539 -2.6405 9.8916 Au
1.9539 -4.9366 0.8741 Au
1.9539 -4.9366 5.7203 Au
```

## Properties
E_form	-738	meV/atom
DFT total energy	-4.60	eV/atom


(10)
Entry from Alexandria: crystalline GeNO3 at its relaxed geometry (PBE-GGA).

POSCAR file:
```
GeNO3
1.0
3.6821 0.0000 0.0000
0.0000 3.6821 0.0000
0.0000 0.0000 3.6821
Ge N O
1 1 3
Cartesian
0.0000 0.0000 0.0000 Ge
1.8410 1.8410 1.8410 N
0.0000 0.0000 1.8410 O
0.0000 1.8410 0.0000 O
1.8410 0.0000 0.0000 O
```

## Properties
DFT total energy	-4.89	eV/atom
ΔE_f (raw)	0.678	eV/atom


(11)
Entry from Alexandria: crystalline CaSICl2 at its relaxed geometry (PBE-GGA).

POSCAR file:
```
CaSICl2
1.0
5.3551 0.0000 0.0000
0.0000 5.3551 0.0000
0.0000 0.0000 5.7242
Ca S I Cl
1 1 1 2
Cartesian
0.0000 0.0000 0.0000 Ca
2.6775 2.6775 0.0000 S
2.6775 2.6775 2.8621 I
0.0000 2.6775 2.8621 Cl
2.6775 0.0000 2.8621 Cl
```

## Properties
relative energy among the computed polymorphs	0.391	eV/atom
DFT total energy	-2.56	eV/atom
ΔE_f (raw)	-0.290	eV/atom


(12)
Entry from Alexandria: crystalline Pr2NdSmDy at its relaxed geometry (PBE-GGA).

POSCAR file:
```
Pr2NdSmDy
1.0
8.3004 0.0000 0.0000
0.0000 6.8023 0.0000
-0.0329 0.0000 6.2931
Pr Nd Sm Dy
4 2 2 2
Cartesian
1.6064 1.3172 1.5840 Pr
1.5900 5.4852 4.7305 Pr
6.6776 1.3172 1.5626 Pr
6.6612 5.4852 4.7091 Pr
4.1502 3.4012 0.0000 Nd
4.1338 3.4012 3.1465 Nd
4.1256 0.5257 4.7198 Sm
4.1420 6.2766 1.5733 Sm
-0.0247 2.3299 4.7198 Dy
-0.0082 4.4724 1.5733 Dy
```

## Properties
E_form	256	meV/atom
DFT total energy	-4.47	eV/atom